# 1
# Li2InOs (PBE, relaxed)
data_Li2InOs
_space_group_name_H-M_alt 'P m m 2'
_space_group_IT_number 25
_cell_length_a 2.711
_cell_length_b 4.271
_cell_length_c 5.590
_cell_angle_alpha 90.00
_cell_angle_beta 90.00
_cell_angle_gamma 90.00
loop_
_space_group_symop_operation_xyz
'x,y,z'
'-x,-y,z'
'-x,y,z'
'x,-y,z'
loop_
_atom_site_label
_atom_site_fract_x
_atom_site_fract_y
_atom_site_fract_z
Li1 0.000 0.000 0.000
Li2 0.500 0.500 0.245
In1 0.500 0.500 0.720
Os1 0.000 0.000 0.482
# * E: -4.26 eV per atom
# * energy relative to the elements: 0.187 eV per atom
# * ρ: 8.18 g/cm³


# 2
# LiScCr2 (PBE, relaxed)
data_LiScCr2
_space_group_name_H-M_alt 'C m m m'
_space_group_IT_number 65
_space_group_name_Hall '-C 2 2'
_cell_length_a 3.551
_cell_length_b 3.577
_cell_length_c 9.146
_cell_angle_alpha 90.00
_cell_angle_beta 90.00
_cell_angle_gamma 90.00
loop_
_atom_site_label
_atom_site_fract_x
_atom_site_fract_y
_atom_site_fract_z
Li1 0.000 0.000 0.000
Sc1 0.000 0.000 0.500
Cr1 0.000 0.500 0.249
# * E: -6.26 eV per atom
# * energy relative to the elements: 0.609 eV per atom
# * ρ: 4.46 g/cm³


# 3
# Tb3SCl7 (PBE, relaxed)
data_Tb3SCl7
_space_group_name_H-M_alt 'P 3 m 1'
_space_group_IT_number 156
_cell_length_a 8.0714
_cell_length_b 8.0714
_cell_length_c 6.7117
_cell_angle_alpha 90.00
_cell_angle_beta 90.00
_cell_angle_gamma 120.00
loop_
_space_group_symop_operation_xyz
'x,y,z'
'-y,x-y,z'
'-x+y,-x,z'
'-y,-x,z'
'-x+y,y,z'
'x,x-y,z'
loop_
_atom_site_label
_atom_site_fract_x
_atom_site_fract_y
_atom_site_fract_z
Tb1 0.0122 0.5061 0.0000
S1 0.3333 0.6667 0.2105
Cl1 0.1761 0.3523 0.7774
Cl2 0.3554 0.1777 0.2023
Cl3 0.6667 0.3333 0.7738
# * formation energy (no corrections): -214.5 kJ per mole of atoms
# * E: -5.04 eV per atom
# * ρ: 3.32 g/cm³